No. 1
Nd3Ho2Tm5 | PBE | relaxed

E above lowest polymorph in meV per atom: 0
Space-group type: C2/c, No. 15
E_form in kJ per mole of atoms: 19
DFT total energy in eV per atom: -4.387

Cell: 9.560 9.560 9.360 Å, 108.22 108.22 112.69°
Fractional coordinates of all 20 atoms:
Nd  0.022  0.269  0.046
Nd  0.235  0.765  0.750
Nd  0.269  0.022  0.546
Nd  0.731  0.978  0.454
Nd  0.765  0.235  0.250
Nd  0.978  0.731  0.954
Ho  0.233  0.466  0.452
Ho  0.466  0.233  0.952
Ho  0.534  0.767  0.048
Ho  0.767  0.534  0.548
Tm  0.027  0.973  0.750
Tm  0.147  0.368  0.765
Tm  0.272  0.728  0.250
Tm  0.368  0.147  0.265
Tm  0.471  0.529  0.250
Tm  0.529  0.471  0.750
Tm  0.632  0.853  0.735
Tm  0.728  0.272  0.750
Tm  0.853  0.632  0.235
Tm  0.973  0.027  0.250

---

No. 2
NdHo5Tm2 | PBE | relaxed

E above lowest polymorph in meV per atom: 127
Space-group type: Cmcm, No. 63
E_form in kJ per mole of atoms: 14
DFT total energy in eV per atom: -4.428

Cell: 8.582 8.582 11.388 Å, 90.00 90.00 141.88°
Fractional coordinates of all 16 atoms:
Nd  0.227  0.773  0.750
Nd  0.773  0.227  0.250
Ho  0.044  0.956  0.612
Ho  0.044  0.956  0.888
Ho  0.396  0.604  0.250
Ho  0.413  0.587  0.578
Ho  0.413  0.587  0.922
Ho  0.587  0.413  0.078
Ho  0.587  0.413  0.422
Ho  0.604  0.396  0.750
Ho  0.956  0.044  0.112
Ho  0.956  0.044  0.388
Tm  0.213  0.787  0.079
Tm  0.213  0.787  0.421
Tm  0.787  0.213  0.579
Tm  0.787  0.213  0.921

---

No. 3
NdHo5Tm7 | PBE | relaxed

Space-group type: Imm2, No. 44
E_form in kJ per mole of atoms: 25
DFT total energy in eV per atom: -4.279

Cell: 8.595 8.595 8.595 Å, 134.45 100.78 96.47°
Fractional coordinates of all 13 atoms:
Nd  0.000  0.000  0.000
Ho  0.028  0.032  0.461
Ho  0.028  0.566  0.996
Ho  0.301  0.801  0.500
Ho  0.571  0.032  0.004
Ho  0.571  0.566  0.539
Tm  0.219  0.549  0.670
Tm  0.304  0.304  0.000
Tm  0.382  0.051  0.331
Tm  0.610  0.610  0.000
Tm  0.720  0.051  0.669
Tm  0.798  0.298  0.500
Tm  0.879  0.549  0.330

---

No. 4
NdHo7Tm12 | PBE | relaxed

E above lowest polymorph in meV per atom: 493
Space-group type: Im-3m, No. 229
E_form in kJ per mole of atoms: 71
DFT total energy in eV per atom: -3.786

Cell: 9.657 9.657 9.657 Å, 109.47 109.47 109.47°
Fractional coordinates of all 20 atoms:
Nd  0.000  0.000  0.000
Ho  0.000  0.000  0.500
Ho  0.000  0.500  0.000
Ho  0.000  0.500  0.500
Ho  0.500  0.000  0.000
Ho  0.500  0.000  0.500
Ho  0.500  0.500  0.000
Ho  0.500  0.500  0.500
Tm  0.000  0.256  0.744
Tm  0.000  0.744  0.256
Tm  0.256  0.000  0.744
Tm  0.256  0.256  0.512
Tm  0.256  0.512  0.256
Tm  0.256  0.744  0.000
Tm  0.488  0.744  0.744
Tm  0.512  0.256  0.256
Tm  0.744  0.000  0.256
Tm  0.744  0.256  0.000
Tm  0.744  0.488  0.744
Tm  0.744  0.744  0.488

---

No. 5
Nd4Ho6Tm | PBE | relaxed

E above lowest polymorph in meV per atom: 128
Space-group type: I-42m, No. 121
E_form in kJ per mole of atoms: 28
DFT total energy in eV per atom: -4.343

Cell: 9.713 9.713 9.713 Å, 140.03 140.03 57.81°
Fractional coordinates of all 11 atoms:
Nd  0.014  0.635  0.000
Nd  0.365  0.365  0.379
Nd  0.635  0.014  0.000
Nd  0.986  0.986  0.621
Ho  0.000  0.500  0.500
Ho  0.197  0.197  0.644
Ho  0.447  0.803  0.000
Ho  0.500  0.000  0.500
Ho  0.553  0.553  0.356
Ho  0.803  0.447  0.000
Tm  0.000  0.000  0.000

---

No. 6
Nd7Ho12Tm | PBE | relaxed

E above lowest polymorph in meV per atom: 0
Space-group type: R-3, No. 148
E_form in kJ per mole of atoms: 22
DFT total energy in eV per atom: -4.408

Cell: 8.777 8.777 8.777 Å, 85.89 85.89 85.89°
Fractional coordinates of all 20 atoms:
Nd  0.000  0.000  0.000
Nd  0.101  0.345  0.419
Nd  0.345  0.419  0.101
Nd  0.419  0.101  0.345
Nd  0.581  0.899  0.655
Nd  0.655  0.581  0.899
Nd  0.899  0.655  0.581
Ho  0.003  0.365  0.884
Ho  0.116  0.997  0.635
Ho  0.228  0.751  0.355
Ho  0.249  0.645  0.772
Ho  0.355  0.228  0.751
Ho  0.365  0.884  0.003
Ho  0.635  0.116  0.997
Ho  0.645  0.772  0.249
Ho  0.751  0.355  0.228
Ho  0.772  0.249  0.645
Ho  0.884  0.003  0.365
Ho  0.997  0.635  0.116
Tm  0.500  0.500  0.500

---

No. 7
Nd5Ho3Tm | PBE | relaxed

E above lowest polymorph in meV per atom: 43
Space-group type: I4/mcm, No. 140
E_form in kJ per mole of atoms: 30
DFT total energy in eV per atom: -4.357

Cell: 9.694 9.694 9.694 Å, 122.40 122.40 85.90°
Fractional coordinates of all 18 atoms:
Nd  0.000  0.000  0.000
Nd  0.069  0.569  0.903
Nd  0.166  0.069  0.500
Nd  0.334  0.834  0.903
Nd  0.431  0.334  0.500
Nd  0.500  0.500  0.000
Nd  0.569  0.666  0.500
Nd  0.666  0.166  0.097
Nd  0.834  0.931  0.500
Nd  0.931  0.431  0.097
Ho  0.109  0.391  0.500
Ho  0.250  0.250  0.000
Ho  0.391  0.891  0.281
Ho  0.609  0.109  0.719
Ho  0.750  0.750  0.000
Ho  0.891  0.609  0.500
Tm  0.250  0.750  0.500
Tm  0.750  0.250  0.500

---

No. 8
Nd6Ho3Tm | PBE | relaxed

E above lowest polymorph in meV per atom: 0
Space-group type: Cmc2_1, No. 36
E_form in kJ per mole of atoms: 14
DFT total energy in eV per atom: -4.540

Cell: 11.125 11.125 6.367 Å, 90.00 90.00 120.94°
Fractional coordinates of all 20 atoms:
Nd  0.036  0.964  0.500
Nd  0.060  0.483  0.041
Nd  0.280  0.720  0.738
Nd  0.286  0.373  0.847
Nd  0.373  0.286  0.347
Nd  0.483  0.060  0.541
Nd  0.517  0.940  0.041
Nd  0.627  0.714  0.847
Nd  0.714  0.627  0.347
Nd  0.720  0.280  0.238
Nd  0.940  0.517  0.541
Nd  0.964  0.036  0.000
Ho  0.053  0.281  0.422
Ho  0.281  0.053  0.922
Ho  0.387  0.613  0.314
Ho  0.613  0.387  0.814
Ho  0.719  0.947  0.422
Ho  0.947  0.719  0.922
Tm  0.194  0.806  0.282
Tm  0.806  0.194  0.782

---

Record-wise density values, in g/cm³: 8.2; 8.4; 8.6; 8.0; 7.7; 7.8; 7.4; 7.5